No. 1
Material: Co
Method: DFT, PBE
State: optimized geometry

Output
E ... -90.9 eV for the cell shown
Relative energy among the computed polymorphs ... 116 meV/atom
Magnetic moment ... 1.67 μB/f.u.
Energy of formation from the pure elements ... 116 meV/atom

a = 8.4707 Å, b = 8.4707 Å, c = 8.4707 Å
α = 31.23°, β = 31.23°, γ = 31.23°
Sites, in units of the cell vectors:
Co (0.0000, 0.0000, 0.0000)
Co (0.0901, 0.0901, 0.5827)
Co (0.0901, 0.5827, 0.0901)
Co (0.1651, 0.1651, 0.1651)
Co (0.3490, 0.3490, 0.3490)
Co (0.4173, 0.9099, 0.9099)
Co (0.4532, 0.4532, 0.4532)
Co (0.5468, 0.5468, 0.5468)
Co (0.5827, 0.0901, 0.0901)
Co (0.6510, 0.6510, 0.6510)
Co (0.8349, 0.8349, 0.8349)
Co (0.9099, 0.4173, 0.9099)
Co (0.9099, 0.9099, 0.4173)


No. 2
Material: HfZnAu2
Method: DFT, PBE
State: optimized geometry

Output
E ... -38.7 eV for the cell shown
Magnetic moment ... 0.01 μB/f.u.
Energy of formation from the pure elements ... -395 meV/atom

a = 4.4705 Å, b = 4.4705 Å, c = 8.5521 Å
α = 90.00°, β = 90.00°, γ = 120.00°
Sites, in units of the cell vectors:
Hf (0.3333, 0.6667, 0.2500)
Hf (0.6667, 0.3333, 0.7500)
Zn (0.0000, 0.0000, 0.0000)
Zn (0.0000, 0.0000, 0.5000)
Au (0.3333, 0.6667, 0.5878)
Au (0.3333, 0.6667, 0.9122)
Au (0.6667, 0.3333, 0.0878)
Au (0.6667, 0.3333, 0.4122)


No. 3
Material: Lu2BeMo
Method: DFT, PBE
State: optimized geometry

Output
E ... -21.7 eV for the cell shown
Magnetic moment ... 0.02 μB/f.u.

a = 4.7262 Å, b = 4.7262 Å, c = 4.7262 Å
α = 60.00°, β = 60.00°, γ = 60.00°
Sites, in units of the cell vectors:
Lu (0.0000, 0.0000, 0.0000)
Lu (0.2500, 0.2500, 0.2500)
Be (0.5000, 0.5000, 0.5000)
Mo (0.7500, 0.7500, 0.7500)


No. 4
Material: Cu15Sn
Method: DFT, PBE
State: optimized geometry

Output
E ... -236.2 eV for the cell shown
Relative energy among the computed polymorphs ... 6 meV/atom

a = 7.2440 Å, b = 41.7028 Å, c = 3.6301 Å
α = 90.00°, β = 90.00°, γ = 90.00°
Sites, in units of the cell vectors:
Cu (0.1073, 0.1814, 0.0000)
Cu (0.1073, 0.8186, 0.5000)
Cu (0.1251, 0.3080, 0.5000)
Cu (0.1248, 0.3508, 0.0000)
Cu (0.1252, 0.3934, 0.5000)
Cu (0.1251, 0.4359, 0.0000)
Cu (0.1250, 0.4786, 0.5000)
Cu (0.1250, 0.5214, 0.0000)
Cu (0.1251, 0.5641, 0.5000)
Cu (0.1252, 0.6066, 0.0000)
Cu (0.1248, 0.6492, 0.5000)
Cu (0.1251, 0.6920, 0.0000)
Cu (0.1280, 0.2652, 0.0000)
Cu (0.1280, 0.7348, 0.5000)
Cu (0.1329, 0.2236, 0.5000)
Cu (0.1329, 0.7764, 0.0000)
Cu (0.3749, 0.3081, 0.0000)
Cu (0.3750, 0.3507, 0.5000)
Cu (0.3752, 0.3933, 0.0000)
Cu (0.3751, 0.4359, 0.5000)
Cu (0.3749, 0.4786, 0.0000)
Cu (0.3749, 0.5214, 0.5000)
Cu (0.3751, 0.5641, 0.0000)
Cu (0.3752, 0.6067, 0.5000)
Cu (0.3750, 0.6493, 0.0000)
Cu (0.3749, 0.6919, 0.5000)
Cu (0.3786, 0.2647, 0.5000)
Cu (0.3786, 0.7353, 0.0000)
Cu (0.3823, 0.2191, 0.0000)
Cu (0.3823, 0.7809, 0.5000)
Cu (0.6177, 0.2191, 0.5000)
Cu (0.6177, 0.7809, 0.0000)
Cu (0.6214, 0.2647, 0.0000)
Cu (0.6214, 0.7353, 0.5000)
Cu (0.6251, 0.3081, 0.5000)
Cu (0.6250, 0.3507, 0.0000)
Cu (0.6248, 0.3933, 0.5000)
Cu (0.6249, 0.4359, 0.0000)
Cu (0.6251, 0.4786, 0.5000)
Cu (0.6251, 0.5214, 0.0000)
Cu (0.6249, 0.5641, 0.5000)
Cu (0.6248, 0.6067, 0.0000)
Cu (0.6250, 0.6493, 0.5000)
Cu (0.6251, 0.6919, 0.0000)
Cu (0.8671, 0.2236, 0.0000)
Cu (0.8671, 0.7764, 0.5000)
Cu (0.8720, 0.2652, 0.5000)
Cu (0.8720, 0.7348, 0.0000)
Cu (0.8749, 0.3080, 0.0000)
Cu (0.8752, 0.3508, 0.5000)
Cu (0.8748, 0.3934, 0.0000)
Cu (0.8749, 0.4359, 0.5000)
Cu (0.8750, 0.4786, 0.0000)
Cu (0.8750, 0.5214, 0.5000)
Cu (0.8749, 0.5641, 0.0000)
Cu (0.8748, 0.6066, 0.5000)
Cu (0.8752, 0.6492, 0.0000)
Cu (0.8749, 0.6920, 0.5000)
Cu (0.8927, 0.1814, 0.5000)
Cu (0.8927, 0.8186, 0.0000)
Sn (0.3328, 0.1612, 0.5000)
Sn (0.3328, 0.8388, 0.0000)
Sn (0.6672, 0.1612, 0.0000)
Sn (0.6672, 0.8388, 0.5000)


No. 5
Material: TmSnAuSe3
Method: DFT, PBE
State: optimized geometry

Output
E ... -54.6 eV for the cell shown
Relative energy among the computed polymorphs ... 72 meV/atom
Magnetic moment ... 0.00 μB/f.u.

a = 7.1307 Å, b = 7.1307 Å, c = 10.5534 Å
α = 90.00°, β = 90.00°, γ = 147.15°
Sites, in units of the cell vectors:
Tm (0.0000, 0.0000, 0.0000)
Tm (0.0000, 0.0000, 0.5000)
Sn (0.2308, 0.7692, 0.7500)
Sn (0.7692, 0.2308, 0.2500)
Au (0.4643, 0.5357, 0.2500)
Au (0.5357, 0.4643, 0.7500)
Se (0.0948, 0.9052, 0.2500)
Se (0.3546, 0.6454, 0.0488)
Se (0.3546, 0.6454, 0.4512)
Se (0.6454, 0.3546, 0.5488)
Se (0.6454, 0.3546, 0.9512)
Se (0.9052, 0.0948, 0.7500)


No. 6
Material: Ho3Sn3IrPt2
Method: DFT, PBE
State: optimized geometry

Output
E ... -56.1 eV for the cell shown
Magnetic moment ... 0.00 μB/f.u.

a = 7.5728 Å, b = 7.5728 Å, c = 3.8837 Å
α = 90.00°, β = 90.00°, γ = 120.00°
Sites, in units of the cell vectors:
Ho (0.0000, 0.4021, 0.0000)
Ho (0.4021, 0.0000, 0.0000)
Ho (0.5979, 0.5979, 0.0000)
Sn (0.0000, 0.7404, 0.5000)
Sn (0.2596, 0.2596, 0.5000)
Sn (0.7404, 0.0000, 0.5000)
Ir (0.0000, 0.0000, 0.0000)
Pt (0.3333, 0.6667, 0.5000)
Pt (0.6667, 0.3333, 0.5000)


No. 7
Material: Te2Pd
Method: DFT, PBE
State: optimized geometry

Output
E ... -18.6 eV for the cell shown

a = 6.1261 Å, b = 6.1261 Å, c = 6.1261 Å
α = 60.00°, β = 60.00°, γ = 60.00°
Sites, in units of the cell vectors:
Te (0.0000, 0.0000, 0.0000)
Te (0.0000, 0.0000, 0.5000)
Te (0.0000, 0.5000, 0.0000)
Te (0.5000, 0.0000, 0.0000)
Pd (0.3750, 0.3750, 0.3750)
Pd (0.6250, 0.6250, 0.6250)


No. 8
Material: LaTbGa5
Method: DFT, PBE
State: optimized geometry

Output
E ... -27.2 eV for the cell shown
Magnetic moment ... 0.01 μB/f.u.

a = 4.4641 Å, b = 4.4641 Å, c = 8.2821 Å
α = 90.00°, β = 90.00°, γ = 90.00°
Sites, in units of the cell vectors:
La (0.0000, 0.0000, 0.0000)
Tb (0.0000, 0.0000, 0.5000)
Ga (0.0000, 0.5000, 0.2641)
Ga (0.0000, 0.5000, 0.7359)
Ga (0.5000, 0.0000, 0.2641)
Ga (0.5000, 0.0000, 0.7359)
Ga (0.5000, 0.5000, 0.0000)


Question: What is the formula in the first record?
Answer: Co